(1)
Entry from the Alexandria database: crystalline LiMg3Ta2N6 at its relaxed geometry (PBE).

Lattice parameters (Å, degrees): 3.0999 6.2300 6.9309 103.09 102.92 90.00
Closest atoms and distances in Å follow each position.
Positions (direct):
Li 0.5000 0.0000 0.0000  6 N 2.24
Ta 0.8452 0.6828 0.6904  3 N 1.93-2.09
Ta 0.1548 0.3172 0.3096  3 N 1.93-2.09
N 0.6700 0.1027 0.3400  2 Ta 2.09, 1 Li 2.24, 3 Mg 2.25-2.27
N 0.0079 0.2621 0.0157  1 Ta 1.93, 2 Mg 2.16
N 0.6695 0.5690 0.3390  3 Ta 2.18-2.31, 3 Mg 2.23-2.28
N 0.9921 0.7379 0.9843  1 Ta 1.93, 2 Mg 2.16
N 0.3305 0.4310 0.6610  3 Ta 2.18-2.31, 3 Mg 2.23-2.28
N 0.3300 0.8973 0.6600  2 Ta 2.09, 1 Li 2.24, 3 Mg 2.25-2.27
Mg 0.8409 0.1683 0.6819  6 N 2.19-2.28
Mg 0.1591 0.8317 0.3181  6 N 2.19-2.28
Mg 0.5000 0.5000 0.0000  6 N 2.16-2.23

Properties
D(E_F) = 5.36 states/eV per cell
ρ = 6.9 g/cm³
space-group type = No. 12
E_form (uncorrected) = -929 meV per atom
volume = 126.9 Å³/cell

(2)
Entry from the Alexandria database: crystalline LiMg2Ta3N6 at its relaxed geometry (PBE).

Lattice parameters (Å, degrees): 3.0688 6.2700 6.9754 104.57 102.71 90.00
Closest atoms and distances in Å follow each position.
Positions (direct):
N 0.9976 0.2622 0.9951  3 Ta 2.11-2.13, 1 Mg 2.20, 2 Li 2.26
N 0.3288 0.9207 0.6576  3 Ta 2.14-2.19, 2 Mg 2.21, 1 Li 2.25
N 0.6646 0.5899 0.3292  3 Ta 2.16-2.18, 3 Mg 2.24-2.25
N 0.0024 0.7378 0.0049  3 Ta 2.11-2.13, 1 Mg 2.20, 2 Li 2.26
N 0.3354 0.4101 0.6708  3 Ta 2.16-2.18, 3 Mg 2.24-2.25
N 0.6712 0.0793 0.3424  3 Ta 2.14-2.19, 2 Mg 2.21, 1 Li 2.25
Ta 0.5000 0.5000 0.0000  6 N 2.13-2.16
Ta 0.8374 0.1634 0.6748  6 N 2.11-2.19
Ta 0.1626 0.8366 0.3252  6 N 2.11-2.19
Mg 0.1646 0.3287 0.3293  6 N 2.20-2.25
Mg 0.8354 0.6713 0.6707  6 N 2.20-2.25
Li 0.5000 0.0000 0.0000  6 N 2.25-2.26

Properties
D(E_F) = 3.53 states/eV per cell
ρ = 9.0 g/cm³
space-group type = No. 12
E_form (uncorrected) = -1080 meV per atom
volume = 126.5 Å³/cell

(3)
Entry from the Alexandria database: crystalline LiMgTe2N at its relaxed geometry (PBE).

Lattice parameters (Å, degrees): 5.3406 5.3406 3.5761 90.00 90.00 90.00
Closest atoms and distances in Å follow each position.
Positions (direct):
Li 0.0000 0.0000 0.0000  2 N 1.79
Mg 0.5000 0.5000 0.5000  8 Te 3.21, 2 Mg 3.58
Te 0.0000 0.5000 0.0000  2 Li 2.67
Te 0.5000 0.0000 0.0000  2 Li 2.67
N 0.0000 0.0000 0.5000  2 Li 1.79

Properties
D(E_F) = 4.19 states/eV per cell
ρ = 4.9 g/cm³
space-group type = No. 123
E_form (uncorrected) = 543 meV per atom
energy relative to the lowest polymorph listed for this composition = 0.95 eV/f.u.
volume = 102.0 Å³/cell

(4)
Entry from the Alexandria database: crystalline LiMgTe2N at its relaxed geometry (PBE).

Lattice parameters (Å, degrees): 5.8200 5.8200 3.8660 90.00 90.00 90.00
Closest atoms and distances in Å follow each position.
Positions (direct):
Li 0.5000 0.5000 0.5000  8 Te 3.49, 2 Li 3.87
N 0.0000 0.0000 0.5000  2 Mg 1.93
Te 0.5000 0.0000 0.0000  2 Mg 2.91
Te 0.0000 0.5000 0.0000  2 Mg 2.91
Mg 0.0000 0.0000 0.0000  2 N 1.93

Properties
D(E_F) = 4.35 states/eV per cell
ρ = 3.8 g/cm³
space-group type = No. 123
E_form (uncorrected) = 354 meV per atom
energy relative to the lowest polymorph listed for this composition = 0.00 eV/f.u.
volume = 131.0 Å³/cell

(5)
Entry from the Alexandria database: crystalline Li4MgU3N8 at its relaxed geometry (PBE).

Lattice parameters (Å, degrees): 6.8137 6.3639 6.8151 122.37 119.99 90.00
Closest atoms and distances in Å follow each position.
Positions (direct):
N 0.7130 0.7064 0.9597  2 U 2.17, 1 Mg 2.34, 1 Li 2.35
N 0.2620 0.2861 0.5240  3 U 2.24, 3 Li 2.43
N 0.2467 0.7064 0.9597  2 U 2.17, 1 Mg 2.34, 1 Li 2.35
N 0.2467 0.7065 0.4935  2 U 2.17, 1 Mg 2.34, 1 Li 2.35
N 0.7533 0.2935 0.5065  2 U 2.17, 1 Mg 2.34, 1 Li 2.35
N 0.7533 0.2936 0.0403  2 U 2.17, 1 Mg 2.34, 1 Li 2.35
N 0.2870 0.2936 0.0403  2 U 2.17, 1 Mg 2.34, 1 Li 2.35
N 0.7380 0.7139 0.4760  3 U 2.24, 3 Li 2.43
Li 0.5000 0.0000 0.5000  6 N 2.43-2.51
Li 0.0000 0.0000 0.5000  6 N 2.43-2.51
Li 0.0000 0.0000 0.0000  6 N 2.43-2.51
Li 0.5000 0.0000 0.0000  6 N 2.35
U 0.5000 0.5000 0.0000  6 N 2.17-2.24
U 0.0000 0.5000 0.5000  6 N 2.17-2.24
U 0.5000 0.5000 0.5000  6 N 2.17-2.24
Mg 0.0000 0.5000 0.0000  6 N 2.34

Properties
ρ = 7.2 g/cm³
space-group type = No. 166
E_form (uncorrected) = -1019 meV per atom
volume = 201.2 Å³/cell

(6)
Entry from the Alexandria database: crystalline Li3MgU2N6 at its relaxed geometry (PBE).

Lattice parameters (Å, degrees): 3.5085 6.5025 6.8025 101.82 104.94 90.00
Closest atoms and distances in Å follow each position.
Positions (direct):
N 0.9917 0.7587 0.9834  1 U 1.97, 1 Li 2.17
N 0.0083 0.2413 0.0166  1 U 1.97, 1 Li 2.17
N 0.6761 0.5532 0.3522  3 U 2.13-2.33, 1 Li 2.27
N 0.3239 0.4468 0.6478  3 U 2.13-2.33, 1 Li 2.27
N 0.6672 0.1138 0.3344  1 Mg 2.17, 2 U 2.19, 1 Li 2.21
N 0.3328 0.8862 0.6656  1 Mg 2.17, 2 U 2.19, 1 Li 2.21
Li 0.8393 0.1713 0.6786  2 N 2.17-2.21
Li 0.1607 0.8287 0.3214  2 N 2.17-2.21
Li 0.5000 0.5000 0.0000  6 N 2.27-2.45
U 0.8385 0.6871 0.6770  4 N 1.97-2.19
U 0.1615 0.3129 0.3230  4 N 1.97-2.19
Mg 0.5000 0.0000 0.0000  6 N 2.17-2.34

Properties
D(E_F) = 4.82 states/eV per cell
ρ = 6.9 g/cm³
space-group type = No. 12
E_form (uncorrected) = -905 meV per atom
volume = 146.5 Å³/cell

(7)
Entry from the Alexandria database: crystalline LiMg3U2N6 at its relaxed geometry (PBE).

Lattice parameters (Å, degrees): 3.4298 6.5941 6.9113 103.01 104.37 90.00
Closest atoms and distances in Å follow each position.
Positions (direct):
N 0.6743 0.5699 0.3486  3 U 2.20-2.39, 1 Mg 2.27
N 0.3257 0.4301 0.6514  3 U 2.20-2.39, 1 Mg 2.27
N 0.9960 0.7301 0.9919  1 U 2.01, 1 Mg 2.15
N 0.6677 0.0937 0.3355  1 Li 2.19, 3 Mg 2.24-2.39, 2 U 2.26
N 0.3323 0.9063 0.6645  1 Li 2.19, 3 Mg 2.24-2.39, 2 U 2.26
N 0.0040 0.2699 0.0081  1 U 2.01, 1 Mg 2.15
U 0.8421 0.6888 0.6842  2 N 2.01-2.20
U 0.1579 0.3112 0.3158  2 N 2.01-2.20
Li 0.5000 0.0000 0.0000  2 N 2.19
Mg 0.1603 0.8386 0.3205  4 N 2.15-2.39
Mg 0.8397 0.1614 0.6795  4 N 2.15-2.39
Mg 0.5000 0.5000 0.0000  6 N 2.27-2.30

Properties
D(E_F) = 4.36 states/eV per cell
ρ = 7.2 g/cm³
space-group type = No. 12
E_form (uncorrected) = -1043 meV per atom
volume = 147.3 Å³/cell

(8)
Entry from the Alexandria database: crystalline LiMgU2N4 at its relaxed geometry (PBE).

Lattice parameters (Å, degrees): 3.4427 5.9753 5.5530 111.01 90.00 90.00
Closest atoms and distances in Å follow each position.
Positions (direct):
U 0.0000 0.5000 0.5000  6 N 2.34-2.35
U 0.5000 0.0000 0.5000  6 N 2.26-2.30
N 0.5000 0.7527 0.7353  3 U 2.30-2.35, 2 Mg 2.40, 1 Li 2.46
N 0.0000 0.7718 0.2827  3 U 2.26-2.34, 1 Mg 2.42, 2 Li 2.50
N 0.5000 0.2473 0.2647  3 U 2.30-2.35, 2 Mg 2.40, 1 Li 2.46
N 0.0000 0.2282 0.7173  3 U 2.26-2.34, 1 Mg 2.42, 2 Li 2.50
Mg 0.0000 0.0000 0.0000  6 N 2.40-2.42
Li 0.5000 0.5000 0.0000  6 N 2.46-2.50

Properties
D(E_F) = 5.84 states/eV per cell
ρ = 8.8 g/cm³
space-group type = No. 10
E_form (uncorrected) = -1056 meV per atom
volume = 106.6 Å³/cell

(9)
Entry from the Alexandria database: crystalline LiMgWN3 at its relaxed geometry (PBE).

Lattice parameters (Å, degrees): 2.9709 5.8281 9.2012 103.85 90.00 90.00
Closest atoms and distances in Å follow each position.
Positions (direct):
N 0.2500 0.0753 0.8632  2 W 2.13, 3 Mg 2.17-2.19, 1 Li 2.30
N 0.7500 0.4542 0.1467  2 W 2.03, 2 Mg 2.14
N 0.7500 0.2005 0.6128  1 W 1.76
N 0.7500 0.9247 0.1368  2 W 2.13, 3 Mg 2.17-2.19, 1 Li 2.30
N 0.2500 0.5458 0.8533  2 W 2.03, 2 Mg 2.14
N 0.2500 0.7995 0.3872  1 W 1.76
W 0.2500 0.6979 0.1911  1 N 1.76
W 0.7500 0.3021 0.8089  1 N 1.76
Mg 0.2500 0.1812 0.1079  5 N 2.14-2.19
Mg 0.7500 0.8188 0.8921  5 N 2.14-2.19
Li 0.2500 0.9557 0.6060  3 N 2.00-2.05
Li 0.7500 0.0443 0.3940  3 N 2.00-2.05

Properties
ρ = 5.5 g/cm³
space-group type = No. 11
E_form (uncorrected) = -568 meV per atom
volume = 154.7 Å³/cell

(10)
Entry from the Alexandria database: crystalline LiY2MgN at its relaxed geometry (PBE).

Lattice parameters (Å, degrees): 4.7902 4.7902 4.5704 90.00 90.00 90.00
Closest atoms and distances in Å follow each position.
Positions (direct):
Li 0.0000 0.0000 0.5000  2 N 2.29
Y 0.5000 0.0000 0.0000  2 N 2.40
Y 0.0000 0.5000 0.0000  2 N 2.40
Mg 0.5000 0.5000 0.5000  8 Y 3.31, 4 Li 3.39
N 0.0000 0.0000 0.0000  2 Li 2.29, 4 Y 2.40

Properties
D(E_F) = 4.50 states/eV per cell
ρ = 3.5 g/cm³
space-group type = No. 123
E_form (uncorrected) = -524 meV per atom
energy relative to the lowest polymorph listed for this composition = 0.00 eV/f.u.
volume = 104.9 Å³/cell

(11)
Entry from the Alexandria database: crystalline LiY2MgN at its relaxed geometry (PBE).

Lattice parameters (Å, degrees): 4.8510 4.8510 4.4133 90.00 90.00 90.00
Closest atoms and distances in Å follow each position.
Positions (direct):
Y 0.0000 0.5000 0.0000  2 N 2.43
Y 0.5000 0.0000 0.0000  2 N 2.43
Mg 0.0000 0.0000 0.5000  2 N 2.21
N 0.0000 0.0000 0.0000  2 Mg 2.21, 4 Y 2.43
Li 0.5000 0.5000 0.5000  8 Y 3.28, 4 Mg 3.43

Properties
D(E_F) = 3.76 states/eV per cell
ρ = 3.6 g/cm³
space-group type = No. 123
E_form (uncorrected) = -480 meV per atom
energy relative to the lowest polymorph listed for this composition = 0.22 eV/f.u.
volume = 103.9 Å³/cell

(12)
Entry from the Alexandria database: crystalline LiMg2ZnN at its relaxed geometry (PBE).

Lattice parameters (Å, degrees): 4.2435 4.2435 4.1902 90.00 90.00 90.00
Closest atoms and distances in Å follow each position.
Positions (direct):
Zn 0.5000 0.5000 0.5000  8 Mg 2.98, 4 Li 3.00
Mg 0.5000 0.0000 0.0000  2 N 2.12
Mg 0.0000 0.5000 0.0000  2 N 2.12
Li 0.0000 0.0000 0.5000  2 N 2.10
N 0.0000 0.0000 0.0000  2 Li 2.10, 4 Mg 2.12

Properties
D(E_F) = 1.48 states/eV per cell
ρ = 3.0 g/cm³
space-group type = No. 123
E_form (uncorrected) = -289 meV per atom
volume = 75.5 Å³/cell